(1)
7
Lattice="-0.098 -3.880 0.673 -0.274 -2.516 -3.018 13.303 -2.614 -1.601" Properties=species:S:1:pos:R:3 comment="Mn2VTe4 (PBE, optimized geometry)" magnetic_moment_mub_per_fu=11.030 e_above_lowest_polymorph_mev_per_atom=111.9 crystal_system=trigonal raw_formation_energy_ev_per_atom=-0.108 dft_energy_ev_per_cell=-40.781 density_g_cm3=6.162 pbc="T T T"
Mn 9.600 -4.617 -2.164
Mn 3.330 -4.392 -1.782
V 0.000 0.000 0.000
Te 8.263 -2.433 -1.293
Te 1.556 -2.192 -0.884
Te 11.374 -6.817 -3.062
Te 4.667 -6.577 -2.653

=====

(2)
13
Lattice="-5.965 -1.040 4.991 -6.778 -3.011 -2.560 -2.122 -7.250 2.122" Properties=species:S:1:pos:R:3 comment="MnV4Te8 (PBE, optimized geometry)" magnetic_moment_mub_per_fu=10.973 crystal_system=cubic raw_formation_energy_ev_per_atom=-0.302 dft_energy_ev_per_cell=-74.704 density_g_cm3=6.220 pbc="T T T"
Mn -11.148 -8.476 3.414
V -8.715 -4.632 4.475
V -9.180 -5.757 0.166
V -6.522 -8.176 2.837
V -5.312 -4.038 1.627
Te -4.895 -1.889 3.158
Te -5.322 -2.923 -0.801
Te -2.880 -5.146 1.654
Te -1.767 -1.344 0.541
Te -6.419 -6.455 0.540
Te -6.053 -5.567 3.942
Te -8.151 -3.657 1.833
Te -9.107 -6.924 2.789